w:
Computed, not measured: an optimized crystal structure of NaGe2Pb2 at the PBE-GGA level of DFT.

a = 8.0332 Å, b = 8.0332 Å, c = 4.1756 Å
α = 90.00°, β = 90.00°, γ = 90.00°
Last column: nearest neighbours and their distance in Å.
Space group P4/mbm (No. 127)
Unique sites:
Na1 0.0000 0.0000 0.0000 x2  4 Ge 3.22
Ge1 0.1161 0.3839 0.0000 x4  1 Ge 2.64
Pb1 0.1659 0.6659 0.5000 x4  6 Ge 3.11-3.24

Output
Magnetization   0.0 μB per formula unit
Fermi-level density of states   5.12 states/eV/cell


x:
Computed, not measured: an optimized crystal structure of NaGe2Pb2 at the PBE-GGA level of DFT.

a = 4.0985 Å, b = 4.0985 Å, c = 16.5083 Å
α = 90.00°, β = 90.00°, γ = 90.00°
Last column: nearest neighbours and their distance in Å.
Space group I4/mmm (No. 139)
Unique sites:
Na1 0.0000 0.0000 0.0000 x2  8 Pb 3.44
Ge1 0.0000 0.5000 0.2500 x4  4 Ge 2.90, 4 Pb 3.06
Pb1 0.0000 0.0000 0.3878 x4  4 Ge 3.06

Output
Magnetization   0.0 μB per formula unit
Fermi-level density of states   4.24 states/eV/cell


y:
Computed, not measured: an optimized crystal structure of NaGe2Pb2 at the PBE-GGA level of DFT.

a = 4.9221 Å, b = 4.9221 Å, c = 12.2447 Å
α = 90.00°, β = 90.00°, γ = 90.00°
Last column: nearest neighbours and their distance in Å.
Space group I4/mmm (No. 139)
Unique sites:
Na1 0.0000 0.0000 0.0000 x2  8 Ge 3.70, 8 Pb 3.93
Ge1 0.0000 0.0000 0.3985 x4  1 Ge 2.49
Pb1 0.0000 0.5000 0.2500 x4  4 Ge 3.06

Output
Magnetization   0.0 μB per formula unit
Fermi-level density of states   5.90 states/eV/cell


Of them, the most stable is w and the least stable is x.


w:
Computed, not measured: an optimized crystal structure of NaGe3Pd at the PBE-GGA level of DFT.

a = 4.9013 Å, b = 4.9013 Å, c = 4.9013 Å
α = 90.00°, β = 90.00°, γ = 90.00°
Last column: nearest neighbours and their distance in Å.
Space group Pm-3m (No. 221)
Unique sites:
Na1 0.0000 0.0000 0.0000 x1  6 Ge 2.45
Ge1 0.0000 0.0000 0.5000 x3  2 Na 2.45
Pd1 0.5000 0.5000 0.5000 x1  12 Ge 3.47

Output
Magnetization   0.0 μB per formula unit
Fermi-level density of states   5.25 states/eV/cell


x:
Computed, not measured: an optimized crystal structure of NaGe3Pd at the PBE-GGA level of DFT.

a = 4.9541 Å, b = 4.9541 Å, c = 4.9541 Å
α = 90.00°, β = 90.00°, γ = 90.00°
Last column: nearest neighbours and their distance in Å.
Space group Pm-3m (No. 221)
Unique sites:
Na1 0.0000 0.0000 0.0000 x1  12 Ge 3.50
Ge1 0.0000 0.5000 0.5000 x3  2 Pd 2.48
Pd1 0.5000 0.5000 0.5000 x1  6 Ge 2.48

Output
Magnetization   0.0 μB per formula unit
Fermi-level density of states   4.73 states/eV/cell


y:
Computed, not measured: an optimized crystal structure of NaGe3Pd at the PBE-GGA level of DFT.

a = 5.6890 Å, b = 8.7377 Å, c = 7.8361 Å
α = 90.00°, β = 90.00°, γ = 90.00°
Last column: nearest neighbours and their distance in Å.
Space group Pnma (No. 62)
Unique sites:
Na1 0.2134 0.2500 0.1589 x4  6 Ge 2.96-3.27, 2 Pd 3.00, 2 Na 3.18
Ge1 0.1492 0.0886 0.8068 x8  2 Pd 2.62-2.66, 3 Ge 2.64-2.88
Ge2 0.2339 0.7500 0.0345 x4  4 Ge 2.64-2.88, 2 Pd 2.67, 1 Na 2.96
Pd1 0.0000 0.0000 0.5000 x4  6 Ge 2.62-2.67

Output
Magnetization   0.0 μB per formula unit
Fermi-level density of states   7.03 states/eV/cell


Of them, the most stable is y and the least stable is w.


w:
Computed, not measured: an optimized crystal structure of Na3GePd at the PBE-GGA level of DFT.

a = 5.4648 Å, b = 5.4648 Å, c = 5.4648 Å
α = 90.00°, β = 90.00°, γ = 90.00°
Last column: nearest neighbours and their distance in Å.
Space group Pm-3m (No. 221)
Unique sites:
Na1 0.0000 0.0000 0.5000 x3  2 Ge 2.73
Ge1 0.0000 0.0000 0.0000 x1  6 Na 2.73
Pd1 0.5000 0.5000 0.5000 x1  12 Na 3.86

Output
Magnetization   1.1 μB per formula unit
Fermi-level density of states   1.80 states/eV/cell


x:
Computed, not measured: an optimized crystal structure of Na3GePd at the PBE-GGA level of DFT.

a = 10.2321 Å, b = 9.1302 Å, c = 7.4051 Å
α = 90.00°, β = 129.76°, γ = 90.00°
Last column: nearest neighbours and their distance in Å.
Space group C2/m (No. 12)
Unique sites:
Na1 0.0453 0.0000 0.3324 x4  2 Pd 2.96-3.24, 1 Ge 3.04, 1 Na 3.16
Na2 0.2204 0.3045 0.7635 x8  1 Pd 2.91, 2 Ge 3.19-3.20
Ge1 0.0682 0.5000 0.3090 x4  2 Pd 2.40-2.44
Pd1 0.1785 0.5000 0.0989 x4  2 Ge 2.40-2.44

Output
Magnetization   0.0 μB per formula unit
Fermi-level density of states   8.45 states/eV/cell


Of them, the most stable is x and the least stable is w.